CuNiH3: optimized geometry, GGA-PBE.

a b c (Å): 3.2206 3.2206 3.2206
angles (deg): 90.00 90.00 90.00
Last column: nearest neighbours and their distance in Å.
Space group Pm-3m (No. 221)
Inequivalent atoms, fractional coordinates:
Cu: 0.0000 0.0000 0.0000 x1  12 H 2.28
Ni: 0.5000 0.5000 0.5000 x1  6 H 1.61
H: 0.0000 0.5000 0.5000 x3  2 Ni 1.61

Computed properties:
The density of states at the Fermi level is 0.173 states/eV per atom. The value obtained for the total energy is -3.814 eV per atom.